La2PuNi4Sb3: optimized geometry, PBE.

Cell: 4.492 4.492 10.433 Å, 90.00 90.00 90.00°
Atoms (fractional coordinates):
1 La 0.000 0.500 0.224
2 La 0.500 0.000 0.776
3 Pu 0.000 0.000 0.500
4 Ni 0.000 0.000 0.000
5 Ni 0.000 0.500 0.638
6 Ni 0.500 0.000 0.362
7 Ni 0.500 0.500 0.000
8 Sb 0.000 0.500 0.877
9 Sb 0.500 0.000 0.123
10 Sb 0.500 0.500 0.500

Density of states at the Fermi level in states/eV/cell: 10.93
Magnetization in μB/cell: 5.241
Calculated total energy in eV per atom: -6.588